[1]
Here is a relaxed structure of NaMgSe2O6 from the Alexandria database. Energies are from PBE.

SG ... No. 148

Unit cell a=5.3370 b=5.3370 c=6.2958 alpha=64.92 beta=64.92 gamma=60.00
Last column: nearest neighbours and their distance in Å.
Fractional coordinates of all 10 atoms:
O: 0.9258 0.5245 0.2817  1 Se 1.72
O: 0.7319 0.0742 0.7183  1 Se 1.72
O: 0.0742 0.4755 0.7183  1 Se 1.72
O: 0.4755 0.7319 0.7183  1 Se 1.72
O: 0.2681 0.9258 0.2817  1 Se 1.72
O: 0.5245 0.2681 0.2817  1 Se 1.72
Mg: 0.5000 0.5000 0.5000  6 O 2.14
Se: 0.7232 0.7232 0.8304  3 O 1.72
Se: 0.2768 0.2768 0.1696  3 O 1.72
Na: 0.0000 0.0000 0.0000  6 O 2.52

[2]
Here is a relaxed structure of NaMgSeO4 from the Alexandria database. Energies are from PBE.

SG ... No. 74

Unit cell a=6.2108 b=6.1874 c=6.1874 alpha=61.16 beta=59.87 gamma=59.87
Last column: nearest neighbours and their distance in Å.
Fractional coordinates of all 14 atoms:
Mg: 0.0000 0.0000 0.0000  4 O 2.06
Mg: 0.0000 0.5000 0.5000  4 O 2.06
O: 0.7743 0.2618 0.7618  1 Se 1.97, 2 Mg 2.06
O: 0.2020 0.2618 0.7618  1 Se 1.97, 2 Mg 2.06
O: 0.2735 0.6947 0.7583  1 Se 1.71
O: 0.7265 0.3053 0.2417  1 Se 1.71
O: 0.2257 0.7382 0.2382  1 Se 1.97, 2 Mg 2.06
O: 0.7980 0.7382 0.2382  1 Se 1.97, 2 Mg 2.06
O: 0.2735 0.2583 0.1947  1 Se 1.71
O: 0.7265 0.7417 0.8053  1 Se 1.71
Na: 0.5000 0.0000 0.5000  6 O 2.28-2.37
Na: 0.0000 0.0000 0.5000  6 O 2.28-2.37
Se: 0.6092 0.6408 0.1408  2 O 1.71
Se: 0.3908 0.3592 0.8592  2 O 1.71

| no. | total magnetization (μB/f.u.) | total DFT energy (no corrections) (eV/atom) | ΔE_f (raw) (eV/f.u.) |
| --- | --- | --- | --- |
| 1 | 0.00 | -5.230 | -12.7 |
| 2 | 0.18 | -5.136 | -9.7 |